Entry from Alexandria via LeMat-Bulk: crystalline BeSnHg2 at its relaxed geometry (PBE).

POSCAR file:
```
BeSnHg2
1.0
-0.1969 -3.9094 2.4325
4.3591 0.6259 1.3588
-0.7370 2.8407 8.8716
Be Hg Sn
2 4 2
Direct
0.5000 0.5000 0.0000
0.2500 0.7500 0.5000
0.5657 0.1250 0.2500
0.1843 0.6250 0.2500
0.3750 0.4343 0.7500
0.8750 0.8157 0.7500
0.0000 0.0000 0.0000
0.7500 0.2500 0.5000
```

## Properties
magnetization	0.00	μB per formula unit
crystal system	tetragonal
total energy	-1.68	eV per atom
calculated volume	186.01	Å³/cell
ΔE to the lowest computed polymorph	0	meV/atom
energy of formation from the pure elements	1.604	eV per formula unit